Entry 1:
VASP calculation (SCAN) on MnSiNi2 at its PBEsol-relaxed geometry.

Calculated values
- space-group type = I4/mmm (139)
- spin magnetization (μB per formula unit) = 4.63
- DOS(E_F) (states/eV/cell) = 3.94
- energy relative to the elements, uncorrected (kJ/mol of formula units) = -194

a b c (Å): 3.621 3.621 6.692
angles (deg): 90.00 90.00 90.00
Sites, in units of the cell vectors:
Mn 0.000 0.000 0.000
Mn 0.500 0.500 0.500
Si 0.000 0.000 0.500
Si 0.500 0.500 0.000
Ni 0.000 0.500 0.250
Ni 0.000 0.500 0.750
Ni 0.500 0.000 0.250
Ni 0.500 0.000 0.750

***

Entry 2:
VASP calculation (SCAN) on MnSiNi2 at its PBEsol-relaxed geometry.

Calculated values
- space-group type = P4/mmm (123)
- spin magnetization (μB per formula unit) = 3.66
- DOS(E_F) (states/eV/cell) = 2.21
- energy relative to the elements, uncorrected (kJ/mol of formula units) = -180

a b c (Å): 3.501 3.501 3.541
angles (deg): 90.00 90.00 90.00
Sites, in units of the cell vectors:
Mn 0.000 0.000 0.000
Si 0.500 0.500 0.000
Ni 0.000 0.500 0.500
Ni 0.500 0.000 0.500

***

Entry 3:
VASP calculation (SCAN) on MnSiNi6 at its PBEsol-relaxed geometry.

Calculated values
- space-group type = Cmmm (65)
- spin magnetization (μB per formula unit) = 6.28
- DOS(E_F) (states/eV/cell) = 16.77
- energy relative to the elements, uncorrected (kJ/mol of formula units) = -270

a b c (Å): 6.028 6.028 9.843
angles (deg): 90.00 90.00 109.64
Sites, in units of the cell vectors:
Mn 0.000 0.000 0.249
Mn 0.000 0.000 0.751
Mn 0.246 0.754 0.000
Mn 0.754 0.246 0.000
Si 0.245 0.755 0.500
Si 0.500 0.500 0.249
Si 0.500 0.500 0.751
Si 0.755 0.245 0.500
Ni 0.000 0.000 0.000
Ni 0.000 0.000 0.500
Ni 0.128 0.378 0.377
Ni 0.128 0.378 0.623
Ni 0.129 0.378 0.127
Ni 0.129 0.378 0.873
Ni 0.250 0.750 0.253
Ni 0.250 0.750 0.747
Ni 0.378 0.128 0.377
Ni 0.378 0.128 0.623
Ni 0.378 0.129 0.127
Ni 0.378 0.129 0.873
Ni 0.500 0.500 0.000
Ni 0.500 0.500 0.500
Ni 0.622 0.871 0.127
Ni 0.622 0.871 0.873
Ni 0.622 0.872 0.377
Ni 0.622 0.872 0.623
Ni 0.750 0.250 0.253
Ni 0.750 0.250 0.747
Ni 0.871 0.622 0.127
Ni 0.871 0.622 0.873
Ni 0.872 0.622 0.377
Ni 0.872 0.622 0.623

***

Entry 4:
VASP calculation (SCAN) on Mn3SiNi2 at its PBEsol-relaxed geometry.

Calculated values
- space-group type = Fd-3m (227)
- spin magnetization (μB per formula unit) = 11.62
- DOS(E_F) (states/eV/cell) = 7.78
- energy relative to the elements, uncorrected (kJ/mol of formula units) = -274

a b c (Å): 7.414 7.414 7.414
angles (deg): 60.00 60.00 60.00
Sites, in units of the cell vectors:
Mn 0.066 0.066 0.684
Mn 0.066 0.684 0.066
Mn 0.066 0.684 0.684
Mn 0.316 0.316 0.934
Mn 0.316 0.934 0.316
Mn 0.316 0.934 0.934
Mn 0.684 0.066 0.066
Mn 0.684 0.066 0.684
Mn 0.684 0.684 0.066
Mn 0.934 0.316 0.316
Mn 0.934 0.316 0.934
Mn 0.934 0.934 0.316
Si 0.000 0.500 0.500
Si 0.500 0.000 0.500
Si 0.500 0.500 0.000
Si 0.500 0.500 0.500
Ni 0.288 0.288 0.288
Ni 0.288 0.288 0.635
Ni 0.288 0.635 0.288
Ni 0.365 0.712 0.712
Ni 0.635 0.288 0.288
Ni 0.712 0.365 0.712
Ni 0.712 0.712 0.365
Ni 0.712 0.712 0.712